## BaOsW2 (PBE)

Data for crystalline BaOsW2 at its relaxed geometry.

E_tot   -133.38 eV/cell
V   18.5 Å³/atom
Theoretical density   15.58 g/cm3

```
data_BaOsW2
_chemical_formula_sum 'Ba4 Os4 W8'
_cell_length_a 6.667
_cell_length_b 6.667
_cell_length_c 6.667
_cell_angle_alpha 90.00
_cell_angle_beta 90.00
_cell_angle_gamma 90.00
_symmetry_space_group_name_H-M 'F m -3 m'
_symmetry_Int_Tables_number 225
_symmetry_space_group_name_Hall '-F 4 2 3'
loop_
_atom_site_label
_atom_site_fract_x
_atom_site_fract_y
_atom_site_fract_z
Ba1 0.000 0.000 0.000
Os1 0.000 0.000 0.500
W1 0.250 0.250 0.250
```